Entry 1:
A plane-wave DFT calculation with PBE was carried out for K2TlMo after structural relaxation.

Cell lengths 6.4549, 6.4549, 5.3895 Å; angles 80.59, 80.59, 28.63 degrees
Last column: nearest neighbours and their distance in Å.
Atoms (fractional coordinates):
K: 0.9971 0.9971 0.9989  6 K 3.11-3.19
K: 0.5029 0.5029 0.5011  6 K 3.11-3.19
Tl: 0.2500 0.2500 0.2500  4 Mo 3.13, 2 Tl 3.19
Mo: 0.7500 0.7500 0.7500  4 Tl 3.13, 2 Mo 3.19

Results
Symmetry: No. 12
E above lowest polymorph in eV per atom: 0.298
Energy relative to the elements in meV per atom: 1059
Total moment in μB per formula unit: 0.891

=====

Entry 2:
A plane-wave DFT calculation with PBE was carried out for Ce2PrCu2Sn2 after structural relaxation.

Cell lengths 4.4939, 4.4939, 9.8132 Å; angles 76.76, 76.76, 60.00 degrees
Last column: nearest neighbours and their distance in Å.
Atoms (fractional coordinates):
Cu: 0.4194 0.4194 0.7418  3 Sn 2.63
Cu: 0.5806 0.5806 0.2582  3 Sn 2.63
Pr: 0.0000 0.0000 0.0000  6 Sn 3.28, 6 Cu 3.56
Sn: 0.7371 0.7371 0.7888  3 Cu 2.63
Sn: 0.2629 0.2629 0.2112  3 Cu 2.63
Ce: 0.8572 0.8572 0.4285  3 Ce 2.93, 3 Cu 3.05
Ce: 0.1428 0.1428 0.5715  3 Ce 2.93, 3 Cu 3.05

Results
Symmetry: No. 166
Energy relative to the elements in meV per atom: -410
Total moment in μB per formula unit: 1.749

=====

Entry 3:
A plane-wave DFT calculation with PBE was carried out for PrTmUO6 after structural relaxation.

Cell lengths 5.7746, 5.7746, 9.8504 Å; angles 90.00, 90.00, 120.00 degrees
Last column: nearest neighbours and their distance in Å.
Atoms (fractional coordinates):
O: 0.9821 0.3448 0.1386  1 U 2.10, 1 Tm 2.24
O: 0.3448 0.3627 0.8614  1 U 2.10, 1 Tm 2.24
O: 0.3627 0.3448 0.3614  1 U 2.10, 1 Tm 2.24
O: 0.0179 0.6552 0.8614  1 U 2.10, 1 Tm 2.24
O: 0.6552 0.6373 0.1386  1 U 2.10, 1 Tm 2.24
O: 0.6373 0.6552 0.6386  1 U 2.10, 1 Tm 2.24
O: 0.0179 0.3627 0.6386  1 U 2.10, 1 Tm 2.24
O: 0.9821 0.6373 0.3614  1 U 2.10, 1 Tm 2.24
O: 0.6373 0.9821 0.8614  1 U 2.10, 1 Tm 2.24
O: 0.3627 0.0179 0.1386  1 U 2.10, 1 Tm 2.24
O: 0.6552 0.0179 0.3614  1 U 2.10, 1 Tm 2.24
O: 0.3448 0.9821 0.6386  1 U 2.10, 1 Tm 2.24
Tm: 0.6667 0.3333 0.7500  6 O 2.24
Tm: 0.3333 0.6667 0.2500  6 O 2.24
U: 0.3333 0.6667 0.7500  6 O 2.10
U: 0.6667 0.3333 0.2500  6 O 2.10
Pr: 0.0000 0.0000 0.5000  6 O 2.46
Pr: 0.0000 0.0000 0.0000  6 O 2.46

Results
Symmetry: No. 163
Total moment in μB per formula unit: 0.000
Formation energy without anion corrections in eV/atom: -3.3544

=====

Entry 4:
A plane-wave DFT calculation with PBE was carried out for TlCr2As after structural relaxation.

Cell lengths 4.9574, 4.9574, 4.9574 Å; angles 126.93, 126.93, 78.36 degrees
Last column: nearest neighbours and their distance in Å.
Atoms (fractional coordinates):
As: 0.7500 0.2500 0.5000  8 Cr 2.93, 4 Tl 3.13
Cr: 0.0000 0.0000 0.0000  4 Tl 2.93, 4 As 2.93, 4 Cr 3.13
Cr: 0.5000 0.5000 0.0000  4 As 2.93, 4 Tl 2.93, 4 Cr 3.13
Tl: 0.2500 0.7500 0.5000  8 Cr 2.93, 4 As 3.13

Results
Symmetry: No. 139
E above lowest polymorph in eV per atom: 0.292
Energy relative to the elements in meV per atom: 552
Total moment in μB per formula unit: 7.721

=====

Entry 5:
A plane-wave DFT calculation with PBE was carried out for LaV3P after structural relaxation.

Cell lengths 4.5788, 4.5788, 4.5788 Å; angles 90.00, 90.00, 90.00 degrees
Last column: nearest neighbours and their distance in Å.
Atoms (fractional coordinates):
V: 0.0000 0.5000 0.0000  2 La 2.29
V: 0.0000 0.0000 0.5000  2 La 2.29
V: 0.5000 0.0000 0.0000  2 La 2.29
P: 0.5000 0.5000 0.5000  12 V 3.24
La: 0.0000 0.0000 0.0000  6 V 2.29

Results
Symmetry: No. 221
E above lowest polymorph in eV per atom: 1.695
Energy relative to the elements in meV per atom: 1862
Total moment in μB per formula unit: 0.002

=====

Entry 6:
A plane-wave DFT calculation with PBE was carried out for Ti2ZnB2Rh5 after structural relaxation.

Cell lengths 3.0216, 9.2023, 9.2023 Å; angles 90.00, 90.00, 90.00 degrees
Last column: nearest neighbours and their distance in Å.
Atoms (fractional coordinates):
Ti: 0.0000 0.3247 0.8247  3 B 2.57-2.82, 6 Rh 2.74-2.80
Ti: 0.0000 0.6753 0.1753  3 B 2.57-2.82, 6 Rh 2.74-2.80
Ti: 0.0000 0.1753 0.3247  3 B 2.57-2.82, 6 Rh 2.74-2.80
Ti: 0.0000 0.8247 0.6753  3 B 2.57-2.82, 6 Rh 2.74-2.80
Rh: 0.5000 0.0717 0.7844  2 B 2.15
Rh: 0.5000 0.5717 0.7156  2 B 2.15
Rh: 0.5000 0.5000 0.0000  4 B 2.24
Rh: 0.5000 0.2844 0.5717  2 B 2.15
Rh: 0.5000 0.4283 0.2844  2 B 2.15
Rh: 0.5000 0.7844 0.9283  2 B 2.15
Rh: 0.5000 0.9283 0.2156  2 B 2.15
Rh: 0.5000 0.0000 0.5000  4 B 2.24
Rh: 0.5000 0.7156 0.4283  2 B 2.15
Rh: 0.5000 0.2156 0.0717  2 B 2.15
B: 0.0000 0.8729 0.3729  6 Rh 2.15-2.24
B: 0.0000 0.1271 0.6271  6 Rh 2.15-2.24
B: 0.0000 0.3729 0.1271  6 Rh 2.15-2.24
B: 0.0000 0.6271 0.8729  6 Rh 2.15-2.24
Zn: 0.0000 0.5000 0.5000  8 Rh 2.58
Zn: 0.0000 0.0000 0.0000  8 Rh 2.58

Results
Symmetry: No. 127
Energy relative to the elements in meV per atom: -688
Total moment in μB per formula unit: 0.329

=====

Entry 7:
A plane-wave DFT calculation with PBE was carried out for AlHg4As after structural relaxation.

Cell lengths 5.9601, 5.9601, 5.9601 Å; angles 60.00, 60.00, 60.00 degrees
Last column: nearest neighbours and their distance in Å.
Atoms (fractional coordinates):
Hg: 0.3748 0.3748 0.8757  6 Hg 2.97-2.99
Hg: 0.8757 0.3748 0.3748  6 Hg 2.97-2.99
Hg: 0.3748 0.8757 0.3748  6 Hg 2.97-2.99
Hg: 0.3748 0.3748 0.3748  6 Hg 2.97-2.99
As: 0.0000 0.0000 0.0000  12 Hg 3.49, 4 Al 3.65
Al: 0.7500 0.7500 0.7500  12 Hg 3.50, 4 As 3.65

Results
Symmetry: No. 216
Energy relative to the elements in meV per atom: 463
Total moment in μB per formula unit: 0.000

=====

Entry 8:
A plane-wave DFT calculation with PBE was carried out for BaCa4Ag4 after structural relaxation.

Cell lengths 6.0831, 10.0619, 10.0619 Å; angles 90.00, 90.00, 90.00 degrees
Last column: nearest neighbours and their distance in Å.
Atoms (fractional coordinates):
Ca: 0.9008 0.6030 0.8439  5 Ag 3.07-3.24
Ca: 0.0992 0.1561 0.6030  5 Ag 3.07-3.24
Ca: 0.9008 0.3970 0.1561  5 Ag 3.07-3.24
Ca: 0.4008 0.3439 0.8970  5 Ag 3.07-3.24
Ca: 0.0992 0.8439 0.3970  5 Ag 3.07-3.24
Ca: 0.5992 0.1030 0.3439  5 Ag 3.07-3.24
Ca: 0.4008 0.6561 0.1030  5 Ag 3.07-3.24
Ca: 0.5992 0.8970 0.6561  5 Ag 3.07-3.24
Ba: 0.5000 0.5000 0.5000  4 Ag 3.42
Ba: 0.0000 0.0000 0.0000  4 Ag 3.42
Ag: 0.8971 0.7019 0.1500  1 Ag 2.86, 4 Ca 3.07-3.13
Ag: 0.6029 0.7981 0.3500  1 Ag 2.86, 4 Ca 3.07-3.13
Ag: 0.8971 0.2981 0.8500  1 Ag 2.86, 4 Ca 3.07-3.13
Ag: 0.1029 0.1500 0.2981  1 Ag 2.86, 4 Ca 3.07-3.13
Ag: 0.3971 0.6500 0.7981  1 Ag 2.86, 4 Ca 3.07-3.13
Ag: 0.1029 0.8500 0.7019  1 Ag 2.86, 4 Ca 3.07-3.13
Ag: 0.6029 0.2019 0.6500  1 Ag 2.86, 4 Ca 3.07-3.13
Ag: 0.3971 0.3500 0.2019  1 Ag 2.86, 4 Ca 3.07-3.13

Results
Symmetry: No. 86
Energy relative to the elements in meV per atom: -186
Total moment in μB per formula unit: 0.000

=====

Entry 9:
A plane-wave DFT calculation with PBE was carried out for Ba6Se5 after structural relaxation.

Cell lengths 8.1651, 8.1626, 8.1706 Å; angles 80.39, 70.51, 59.99 degrees
Last column: nearest neighbours and their distance in Å.
Atoms (fractional coordinates):
Ba: 0.2543 0.0000 0.2541  5 Se 3.28-3.33
Ba: 0.5771 0.3388 0.2520  5 Se 3.29-3.35
Ba: 0.4229 0.6612 0.7480  5 Se 3.29-3.35
Ba: 0.0840 0.3388 0.7480  5 Se 3.29-3.35
Ba: 0.7457 0.0000 0.7459  5 Se 3.28-3.33
Ba: 0.9160 0.6612 0.2520  5 Se 3.29-3.35
Se: 0.8333 0.3334 0.5000  6 Ba 3.29-3.35
Se: 0.5000 0.0000 0.5000  6 Ba 3.28-3.34
Se: 0.1667 0.6666 0.5000  6 Ba 3.29-3.35
Se: 0.6665 0.6671 0.0000  6 Ba 3.33
Se: 0.3335 0.3329 0.0000  6 Ba 3.33

Results
Symmetry: No. 12
Total moment in μB per formula unit: 0.517
Formation energy without anion corrections in eV/atom: -1.8286

=====

Entry 10:
A plane-wave DFT calculation with PBE was carried out for CePrZrN3 after structural relaxation.

Cell lengths 3.3379, 6.4595, 9.8522 Å; angles 92.73, 90.00, 90.00 degrees
Last column: nearest neighbours and their distance in Å.
Atoms (fractional coordinates):
N: 0.7500 0.3947 0.1068  1 Zr 2.08
N: 0.7500 0.8531 0.1681  2 Zr 2.20
N: 0.7500 0.1526 0.4201  3 Ce 2.30-2.41
N: 0.2500 0.1469 0.8319  2 Zr 2.20
N: 0.2500 0.8474 0.5799  3 Ce 2.30-2.41
N: 0.2500 0.6053 0.8932  1 Zr 2.08
Ce: 0.2500 0.2200 0.5761  3 N 2.30-2.41
Ce: 0.7500 0.7800 0.4239  3 N 2.30-2.41
Pr: 0.7500 0.8441 0.7857  6 N 2.54-2.63
Pr: 0.2500 0.1559 0.2143  6 N 2.54-2.63
Zr: 0.2500 0.6496 0.1042  3 N 2.08-2.20
Zr: 0.7500 0.3504 0.8958  3 N 2.08-2.20

Results
Symmetry: No. 11
Total moment in μB per formula unit: 1.224
Formation energy without anion corrections in eV/atom: -1.2662

=====

Entry 11:
A plane-wave DFT calculation with PBE was carried out for Tm2As3Rh5 after structural relaxation.

Cell lengths 4.1365, 6.6275, 12.4218 Å; angles 90.00, 99.58, 90.00 degrees
Last column: nearest neighbours and their distance in Å.
Atoms (fractional coordinates):
Rh: 0.2985 0.8888 0.5970  4 As 2.41-2.66
Rh: 0.1210 0.2533 0.2419  4 As 2.49-2.77
Rh: 0.2768 0.4721 0.5536  3 As 2.44
Rh: 0.0561 0.6248 0.1122  4 As 2.49-2.64
Rh: 0.8790 0.7533 0.7581  4 As 2.49-2.77
Rh: 0.7232 0.9721 0.4464  3 As 2.44
Rh: 0.7015 0.3888 0.4030  4 As 2.41-2.66
Rh: 0.4004 0.4175 0.8008  3 As 2.51-2.59
Rh: 0.5996 0.9175 0.1992  3 As 2.51-2.59
Rh: 0.9439 0.1248 0.8878  4 As 2.49-2.64
Tm: 0.5184 0.2862 0.0368  5 As 2.77-2.96, 3 Rh 2.96-3.02
Tm: 0.1770 0.7257 0.3540  9 Rh 2.87-3.17, 3 As 2.94-3.12
Tm: 0.4816 0.7862 0.9632  5 As 2.77-2.96, 3 Rh 2.96-3.02
Tm: 0.8230 0.2257 0.6460  9 Rh 2.87-3.17, 3 As 2.94-3.12
As: 0.0460 0.9993 0.0920  5 Rh 2.49-2.64
As: 0.3894 0.0287 0.7788  4 Rh 2.41-2.59
As: 0.9540 0.4993 0.9080  5 Rh 2.49-2.64
As: 0.2204 0.1684 0.4407  7 Rh 2.44-2.66
As: 0.6106 0.5287 0.2212  4 Rh 2.41-2.59
As: 0.7796 0.6684 0.5593  7 Rh 2.44-2.66

Results
Symmetry: No. 36
Energy relative to the elements in meV per atom: -807
Total moment in μB per formula unit: 0.000